Arrangement a

# LiLuTl GGA-PBE optimized geometry
data_LiLuTl
_space_group_name_H-M_alt 'I 4 m m'
_space_group_IT_number 107
_space_group_name_Hall 'I 4 -2'
_cell_length_a 3.6574
_cell_length_b 3.6574
_cell_length_c 10.6372
_cell_angle_alpha 90.00
_cell_angle_beta 90.00
_cell_angle_gamma 90.00
loop_
_atom_site_label
_atom_site_fract_x
_atom_site_fract_y
_atom_site_fract_z
_atom_site_occupancy
Li1 0.0000 0.0000 0.0000 1
Lu1 0.0000 0.0000 0.3110 1
Tl1 0.0000 0.0000 0.6252 1
# D(E_F)   5.258 states/eV per cell
# Magnetic moment   0.00 μB per cell


Arrangement b

# LiLuTl GGA-PBE optimized geometry
data_LiLuTl
_space_group_name_H-M_alt 'P -6 m 2'
_space_group_IT_number 187
_space_group_name_Hall 'P -6 2'
_cell_length_a 4.8501
_cell_length_b 4.8501
_cell_length_c 3.3944
_cell_angle_alpha 90.00
_cell_angle_beta 90.00
_cell_angle_gamma 120.00
loop_
_atom_site_label
_atom_site_fract_x
_atom_site_fract_y
_atom_site_fract_z
_atom_site_occupancy
Li1 0.0000 0.0000 0.0000 1
Lu1 0.6667 0.3333 0.5000 1
Tl1 0.3333 0.6667 0.0000 1
# D(E_F)   1.938 states/eV per cell
# Magnetic moment   0.00 μB per cell


Need the numbers? Relative energies in kJ/mol of atoms: arrangement a 11.4; arrangement b 0.0.


Arrangement a

# LiTm2Lu GGA-PBE optimized geometry
data_LiTm2Lu
_space_group_name_H-M_alt 'F m -3 m'
_space_group_IT_number 225
_space_group_name_Hall '-F 4 2 3'
_cell_length_a 7.5888
_cell_length_b 7.5888
_cell_length_c 7.5888
_cell_angle_alpha 90.00
_cell_angle_beta 90.00
_cell_angle_gamma 90.00
loop_
_atom_site_label
_atom_site_fract_x
_atom_site_fract_y
_atom_site_fract_z
_atom_site_occupancy
Li1 0.0000 0.0000 0.0000 1
Tm1 0.2500 0.2500 0.2500 1
Lu1 0.0000 0.0000 0.5000 1
# D(E_F)   10.245 states/eV per cell
# Magnetic moment   0.00 μB per cell


Arrangement b

# LiTm2Lu GGA-PBE optimized geometry
data_LiTm2Lu
_space_group_name_H-M_alt 'R -3 m'
_space_group_IT_number 166
_space_group_name_Hall '-R 3 2"'
_cell_length_a 3.3928
_cell_length_b 3.3928
_cell_length_c 35.8406
_cell_angle_alpha 90.00
_cell_angle_beta 90.00
_cell_angle_gamma 120.00
loop_
_atom_site_label
_atom_site_fract_x
_atom_site_fract_y
_atom_site_fract_z
_atom_site_occupancy
Li1 0.0000 0.0000 0.0000 1
Tm1 0.0000 0.0000 0.0892 1
Lu1 0.0000 0.0000 0.5000 1
# D(E_F)   16.158 states/eV per cell
# Magnetic moment   0.00 μB per cell


Need the numbers? Relative energies in kJ/mol of atoms: arrangement a 0.0; arrangement b 0.8.